[1]
CrHgIrPt2, optimized geometry, DFT PBE-GGA; D(E_F) = 1.16 states/eV per atom; calculated density = 13.9 g cm⁻³; final energy = -4.723 eV/atom
1.0
4.509 0.000 0.000
0.000 4.891 0.000
0.000 0.000 4.509
Ir Pt Hg Cr
1 2 1 1
Direct
0.500 0.500 0.500 Ir
0.500 0.000 0.000 Pt
0.000 0.000 0.500 Pt
0.000 0.500 0.000 Hg
0.000 0.000 0.000 Cr

---

[2]
Cr2HgSbIr, optimized geometry, DFT PBE-GGA; D(E_F) = 0.90 states/eV per atom; calculated density = 8.1 g cm⁻³; uncorrected formation energy = 1.206 eV/atom
1.0
-2.277 4.297 1.510
0.295 -1.480 4.657
4.544 2.257 0.429
Cr Hg Sb Ir
2 1 1 1
Direct
0.500 0.000 0.000 Cr
0.000 0.000 0.500 Cr
0.500 0.500 0.500 Hg
0.000 0.000 0.000 Sb
0.000 0.500 0.000 Ir

---

[3]
CrHg2IrW, optimized geometry, DFT PBE-GGA; D(E_F) = 1.05 states/eV per atom; calculated density = 12.6 g cm⁻³; final energy = -4.592 eV/atom
1.0
4.958 0.000 0.000
0.000 4.463 0.000
0.000 0.000 4.958
Hg Cr W Ir
2 1 1 1
Direct
0.000 0.000 0.500 Hg
0.500 0.000 0.000 Hg
0.000 0.000 0.000 Cr
0.500 0.500 0.500 W
0.000 0.500 0.000 Ir

---

[4]
KCr2Hg, optimized geometry, DFT PBE-GGA; D(E_F) = 0.92 states/eV per atom; calculated density = 5.2 g cm⁻³; final energy = -4.285 eV/atom
1.0
-3.597 2.688 1.567
-1.687 -2.673 0.713
2.042 -1.299 6.913
Cr Hg K
2 1 1
Direct
0.000 0.001 0.110 Cr
0.500 0.450 0.212 Cr
0.000 0.344 0.443 Hg
0.500 0.706 0.735 K

---

[5]
KCr2Hg, optimized geometry, DFT PBE-GGA; D(E_F) = 0.70 states/eV per atom; calculated density = 5.7 g cm⁻³; final energy = -4.151 eV/atom
1.0
-0.532 -2.913 1.588
-1.160 -2.407 -4.803
5.215 -1.287 -0.615
Hg K Cr
1 1 2
Direct
0.500 0.000 0.500 Hg
0.000 0.500 0.500 K
0.500 0.500 0.000 Cr
0.000 0.000 0.000 Cr

---

[6]
KCr2Hg, optimized geometry, DFT PBE-GGA; D(E_F) = 0.56 states/eV per atom; calculated density = 5.5 g cm⁻³; final energy = -4.308 eV/atom
1.0
-2.995 0.697 -1.523
-1.649 -0.694 2.928
0.737 8.440 2.417
Cr Hg K
2 1 1
Direct
0.000 0.000 0.073 Cr
0.000 0.000 0.427 Cr
0.500 0.500 0.250 Hg
0.500 0.500 0.750 K

---

[7]
KCrHg3, optimized geometry, DFT PBE-GGA; D(E_F) = 0.38 states/eV per atom; calculated density = 4.7 g cm⁻³; energy above the most stable polymorph in this dataset = 673 meV per atom
1.0
6.256 0.000 0.000
0.000 6.256 0.000
0.000 0.000 6.256
Hg Cr K
3 1 1
Direct
0.000 0.000 0.500 Hg
0.500 0.000 0.000 Hg
0.000 0.500 0.000 Hg
0.500 0.500 0.500 Cr
0.000 0.000 0.000 K

---

[8]
KCr2Hg, optimized geometry, DFT PBE-GGA; D(E_F) = 0.48 states/eV per atom; calculated density = 5.9 g cm⁻³; final energy = -4.178 eV/atom
1.0
5.482 -0.075 0.000
1.548 5.260 0.000
-3.515 -2.592 3.314
Cr Hg K
2 1 1
Direct
0.500 0.500 0.000 Cr
0.000 0.000 0.000 Cr
0.250 0.750 0.500 Hg
0.750 0.250 0.500 K

---

[9]
KCr2Hg, optimized geometry, DFT PBE-GGA; D(E_F) = 0.66 states/eV per atom; calculated density = 5.5 g cm⁻³; final energy = -4.141 eV/atom
1.0
-4.277 2.017 -2.323
-4.683 -0.290 2.396
-2.242 4.356 1.937
Cr K Hg
2 1 1
Direct
0.250 0.250 0.250 Cr
0.000 0.000 0.000 Cr
0.750 0.750 0.750 K
0.500 0.500 0.500 Hg

---

[10]
KCr2Hg, optimized geometry, DFT PBE-GGA; D(E_F) = 0.69 states/eV per atom; calculated density = 3.9 g cm⁻³; final energy = -4.152 eV/atom
1.0
-2.860 0.660 -4.652
-3.836 -3.472 1.866
-8.118 6.005 2.591
Cr K Hg
4 2 2
Direct
0.875 0.094 0.750 Cr
0.906 0.625 0.250 Cr
0.844 0.125 0.250 Cr
0.375 0.156 0.750 Cr
0.250 0.750 0.500 K
0.500 0.500 0.000 K
0.000 0.000 0.000 Hg
0.750 0.250 0.500 Hg

---

[11]
KCr2Hg, optimized geometry, DFT PBE-GGA; D(E_F) = 0.64 states/eV per atom; calculated density = 5.7 g cm⁻³; final energy = -4.147 eV/atom
1.0
5.726 0.001 0.004
-2.809 5.697 -0.007
0.109 0.905 3.076
Cr K Hg
2 1 1
Direct
0.000 0.000 0.000 Cr
0.500 0.000 0.500 Cr
0.500 0.500 0.000 K
0.000 0.500 0.500 Hg

---

[12]
KCr2Hg, optimized geometry, DFT PBE-GGA; D(E_F) = 0.72 states/eV per atom; calculated density = 5.2 g cm⁻³; final energy = -4.277 eV/atom
1.0
4.987 -0.076 0.025
3.926 3.076 0.025
0.864 0.291 7.059
K Cr Hg
1 2 1
Direct
0.250 0.250 0.250 K
0.481 0.481 0.591 Cr
0.019 0.019 0.909 Cr
0.750 0.750 0.750 Hg

---

[13]
K2CrHg2, optimized geometry, DFT PBE-GGA; D(E_F) = 0.49 states/eV per atom; calculated density = 4.5 g cm⁻³; energy above the most stable polymorph in this dataset = 0 meV per atom
1.0
4.407 0.000 0.000
0.000 4.407 0.000
2.203 2.203 10.004
Hg Cr K
2 1 2
Direct
0.750 0.250 0.500 Hg
0.250 0.750 0.500 Hg
0.000 0.000 0.000 Cr
0.394 0.394 0.213 K
0.606 0.606 0.787 K

---

[14]
KCrHg3, optimized geometry, DFT PBE-GGA; D(E_F) = 0.47 states/eV per atom; calculated density = 7.3 g cm⁻³; energy above the most stable polymorph in this dataset = 0 meV per atom
1.0
-4.078 3.015 1.880
1.761 -0.770 5.056
3.085 4.424 -0.401
Hg K Cr
3 1 1
Direct
0.500 0.000 0.000 Hg
0.000 0.500 0.000 Hg
0.000 0.000 0.500 Hg
0.500 0.500 0.500 K
0.000 0.000 0.000 Cr

---

[15]
KCr2Hg, optimized geometry, DFT PBE-GGA; D(E_F) = 1.06 states/eV per atom; calculated density = 5.7 g cm⁻³; final energy = -4.300 eV/atom
1.0
5.037 0.000 0.000
0.000 3.012 0.090
0.000 0.851 6.650
Hg Cr K
1 2 1
Direct
0.500 0.250 0.250 Hg
0.000 0.504 0.359 Cr
0.000 0.996 0.141 Cr
0.500 0.750 0.750 K

---

[16]
KCr2Hg, optimized geometry, DFT PBE-GGA; D(E_F) = 0.56 states/eV per atom; calculated density = 6.4 g cm⁻³; final energy = -4.670 eV/atom
1.0
-1.342 0.199 -2.926
-2.579 -1.612 1.072
-3.702 7.386 2.201
K Hg Cr
1 1 2
Direct
0.500 0.500 0.760 K
0.000 0.000 0.440 Hg
0.500 0.500 0.209 Cr
0.000 0.000 0.091 Cr

---

[17]
KCr2Hg, optimized geometry, DFT PBE-GGA; D(E_F) = 0.51 states/eV per atom; calculated density = 5.7 g cm⁻³; final energy = -4.152 eV/atom
1.0
-1.639 4.192 3.555
-5.718 0.384 0.227
3.635 -4.399 0.578
Cr K Hg
2 1 1
Direct
0.000 0.000 0.000 Cr
0.250 0.750 0.500 Cr
0.750 0.250 0.500 K
0.500 0.500 0.000 Hg

---

[18]
KCr2Hg, optimized geometry, DFT PBE-GGA; D(E_F) = 0.37 states/eV per atom; calculated density = 5.6 g cm⁻³; final energy = -4.159 eV/atom
1.0
4.603 0.000 0.000
0.000 4.603 0.000
0.000 0.000 4.774
Hg Cr K
1 2 1
Direct
0.500 0.000 0.500 Hg
0.500 0.500 0.000 Cr
0.000 0.000 0.000 Cr
0.000 0.500 0.500 K

---

[19]
KCr2Hg, optimized geometry, DFT PBE-GGA; D(E_F) = 0.59 states/eV per atom; calculated density = 5.1 g cm⁻³; final energy = -4.265 eV/atom
1.0
-3.897 2.791 -1.732
-3.404 0.277 -3.783
-5.201 -3.668 3.247
Cr Hg K
2 1 1
Direct
0.752 0.752 0.734 Cr
0.016 0.016 0.916 Cr
0.485 0.485 0.595 Hg
0.246 0.246 0.255 K

---

[20]
KCr2Hg, optimized geometry, DFT PBE-GGA; D(E_F) = 0.54 states/eV per atom; calculated density = 5.5 g cm⁻³; final energy = -4.178 eV/atom
1.0
-3.307 -3.327 9.332
-5.953 -4.325 7.414
-3.189 -6.318 7.682
K Cr Hg
1 2 1
Direct
0.750 0.750 0.750 K
0.984 0.984 0.984 Cr
0.516 0.516 0.516 Cr
0.250 0.250 0.250 Hg

---

[21]
KCr2Hg, optimized geometry, DFT PBE-GGA; D(E_F) = 0.47 states/eV per atom; calculated density = 6.0 g cm⁻³; final energy = -4.099 eV/atom
1.0
-5.575 -0.020 -0.223
1.859 -3.853 -3.582
-0.086 -2.219 2.343
Cr K Hg
2 1 1
Direct
0.000 0.000 0.000 Cr
0.500 0.500 0.000 Cr
0.000 0.500 0.500 K
0.500 0.000 0.500 Hg

---

[22]
K2CrHg2, optimized geometry, DFT PBE-GGA; D(E_F) = 0.47 states/eV per atom; calculated density = 5.0 g cm⁻³; energy above the most stable polymorph in this dataset = 15 meV per atom
1.0
-1.235 7.860 6.192
-8.963 1.906 -4.206
-1.539 -2.082 2.336
K Cr Hg
4 2 4
Direct
0.185 0.315 0.000 K
0.315 0.815 0.000 K
0.815 0.685 0.000 K
0.685 0.185 0.000 K
0.500 0.500 0.000 Cr
0.000 0.000 0.000 Cr
0.109 0.609 0.500 Hg
0.891 0.391 0.500 Hg
0.391 0.109 0.500 Hg
0.609 0.891 0.500 Hg

---

[23]
KCr2Hg, optimized geometry, DFT PBE-GGA; D(E_F) = 0.38 states/eV per atom; calculated density = 5.9 g cm⁻³; final energy = -4.403 eV/atom
1.0
-1.391 -5.860 -1.943
3.523 -4.728 2.299
-4.175 4.699 0.736
Hg Cr K
1 2 1
Direct
0.459 0.459 0.000 Hg
0.230 0.730 0.500 Cr
0.058 0.058 0.000 Cr
0.752 0.252 0.500 K